This record from the Alexandria database describes an optimized crystal structure of RbNaGa2Ge2. The functional is PBE.

As for the crystal system: trigonal. The value obtained for the magnetization is 0.00 μB/f.u. Its total energy is -3.09 eV/atom. For the formation energy from the elements, the calculation gives -165 meV per atom.

It has space group P-3m1 (No. 164), with a = 4.2639 Å, b = 4.2639 Å, c = 10.4905 Å, α = 90.00°, β = 90.00° and γ = 120.00°. The distinct sites, in fractional coordinates, are Rb at (0.0000, 0.0000, 0.0000), Na at (0.0000, 0.0000, 0.5000), Ga at (0.3333, 0.6667, 0.7122) and Ge at (0.3333, 0.6667, 0.2695).